(1)
# V3HPt

An optimized crystal structure of V3HPt (PBE-GGA, Alexandria via LeMat-Bulk).

relative energy among the computed polymorphs = 1825 meV/atom
N(E_F) = 7.35 states/eV/cell
V = 113 Å³ per cell

abc: 4.829 4.829 4.829
angles: 90.00 90.00 90.00
Space group Pm-3m (No. 221)
One atom of each set of equivalent atoms:
1 V 0.000 0.000 0.500 [3 per cell]
2 H 0.500 0.500 0.500 [1 per cell]
3 Pt 0.000 0.000 0.000 [1 per cell]


(2)
# Cd3TcNi

An optimized crystal structure of Cd3TcNi (PBE-GGA, Alexandria via LeMat-Bulk).

relative energy among the computed polymorphs = 0 meV/atom
E_form = 0.924 eV per atom
N(E_F) = 3.39 states/eV/cell
V = 111 Å³ per cell

abc: 4.812 4.812 4.812
angles: 90.00 90.00 90.00
Space group Pm-3m (No. 221)
One atom of each set of equivalent atoms:
1 Cd 0.000 0.000 0.500 [3 per cell]
2 Tc 0.500 0.500 0.500 [1 per cell]
3 Ni 0.000 0.000 0.000 [1 per cell]


(3)
# Ba2CeErSe6

An optimized crystal structure of Ba2CeErSe6 (PBE-GGA, Alexandria via LeMat-Bulk).

N(E_F) = 27.55 states/eV/cell
V = 643 Å³ per cell
uncorrected formation energy = -1.717 eV per atom

abc: 7.385 7.993 13.109
angles: 90.00 123.78 90.00
Space group P2_1/c (No. 14)
One atom of each set of equivalent atoms:
1 Ba 0.221 0.079 0.250 [4 per cell]
2 Ce 0.500 0.000 0.000 [2 per cell]
3 Er 0.000 0.000 0.500 [2 per cell]
4 Se 0.144 0.199 0.954 [4 per cell]
5 Se 0.262 0.699 0.954 [4 per cell]
6 Se 0.336 0.018 0.749 [4 per cell]


(4)
# Dy12Rh6Pb

An optimized crystal structure of Dy12Rh6Pb (PBE-GGA, Alexandria via LeMat-Bulk).

E_form = -0.623 eV per atom
N(E_F) = 27.21 states/eV/cell
V = 972 Å³ per cell

abc: 9.905 9.905 9.905
angles: 90.00 90.00 90.00
Space group Im-3 (No. 204)
One atom of each set of equivalent atoms:
1 Dy 0.000 0.191 0.302 [24 per cell]
2 Rh 0.000 0.370 0.500 [12 per cell]
3 Pb 0.000 0.000 0.000 [2 per cell]


(5)
# USiOs2

An optimized crystal structure of USiOs2 (PBE-GGA, Alexandria via LeMat-Bulk).

relative energy among the computed polymorphs = 330 meV/atom
N(E_F) = 7.47 states/eV/cell
V = 141 Å³ per cell
uncorrected formation energy = 0.094 eV per atom

abc: 5.470 6.647 3.886
angles: 90.00 90.00 90.00
Space group Cmmm (No. 65)
One atom of each set of equivalent atoms:
1 U 0.000 0.000 0.000 [2 per cell]
2 Si 0.000 0.500 0.000 [2 per cell]
3 Os 0.000 0.289 0.500 [4 per cell]


(6)
# Tb3NdBi2

An optimized crystal structure of Tb3NdBi2 (PBE-GGA, Alexandria via LeMat-Bulk).

relative energy among the computed polymorphs = 0 meV/atom
E_form = -0.600 eV per atom
N(E_F) = 5.10 states/eV/cell
V = 185 Å³ per cell

abc: 4.592 4.592 8.765
angles: 90.00 90.00 90.00
Space group P-4m2 (No. 115)
One atom of each set of equivalent atoms:
1 Tb 0.000 0.000 0.000 [1 per cell]
2 Tb 0.000 0.500 0.651 [2 per cell]
3 Nd 0.500 0.500 0.000 [1 per cell]
4 Bi 0.000 0.500 0.287 [2 per cell]


(7)
# Cs3NpBr8

An optimized crystal structure of Cs3NpBr8 (PBE-GGA, Alexandria via LeMat-Bulk).

N(E_F) = 40.79 states/eV/cell
V = 1044 Å³ per cell
uncorrected formation energy = -1.355 eV per atom

abc: 8.112 8.112 15.871
angles: 90.00 90.00 90.00
Space group I4/mmm (No. 139)
One atom of each set of equivalent atoms:
1 Cs 0.000 0.000 0.000 [2 per cell]
2 Cs 0.000 0.500 0.250 [4 per cell]
3 Np 0.000 0.000 0.500 [2 per cell]
4 Br 0.209 0.209 0.393 [16 per cell]


(8)
# Nd3S2

An optimized crystal structure of Nd3S2 (PBE-GGA, Alexandria via LeMat-Bulk).

N(E_F) = 30.15 states/eV/cell
V = 833 Å³ per cell
uncorrected formation energy = -1.534 eV per atom

abc: 6.9961 6.9961 19.6623
angles: 90.00 90.00 120.00
Space group R-3c (No. 167, hexagonal axes)
One atom of each set of equivalent atoms:
1 Nd 0.0000 0.3299 0.2500 [18 per cell]
2 S 0.0000 0.0000 0.1629 [12 per cell]


(9)
# LiCuBr4

An optimized crystal structure of LiCuBr4 (PBE-GGA, Alexandria via LeMat-Bulk).

V = 688 Å³ per cell
uncorrected formation energy = -0.610 eV per atom

abc: 7.377 13.229 7.883
angles: 90.00 116.64 90.00
Space group C2/c (No. 15)
One atom of each set of equivalent atoms:
1 Li 0.000 0.182 0.250 [4 per cell]
2 Cu 0.000 0.316 0.750 [4 per cell]
3 Br 0.217 0.191 0.727 [8 per cell]
4 Br 0.226 0.440 0.745 [8 per cell]


(10)
# Ac3La2Pr2

An optimized crystal structure of Ac3La2Pr2 (PBE-GGA, Alexandria via LeMat-Bulk).

relative energy among the computed polymorphs = 86 meV/atom
E_form = 0.114 eV per atom
N(E_F) = 22.34 states/eV/cell
V = 566 Å³ per cell

abc: 18.720 3.751 9.099
angles: 90.00 117.64 90.00
Space group C2/m (No. 12)
One atom of each set of equivalent atoms:
1 Ac 0.000 0.000 0.000 [2 per cell]
2 Ac 0.216 0.000 0.296 [4 per cell]
3 La 0.062 0.500 0.409 [4 per cell]
4 Pr 0.146 0.000 0.831 [4 per cell]


(11)
# Ca6Mg5

An optimized crystal structure of Ca6Mg5 (PBE-GGA, Alexandria via LeMat-Bulk).

E_form = -0.021 eV per atom
N(E_F) = 22.95 states/eV/cell
V = 738 Å³ per cell

abc: 5.650 16.755 7.793
angles: 90.00 90.00 90.00
Space group Cmmm (No. 65)
One atom of each set of equivalent atoms:
1 Ca 0.000 0.000 0.244 [4 per cell]
2 Ca 0.000 0.339 0.248 [8 per cell]
3 Mg 0.000 0.168 0.500 [4 per cell]
4 Mg 0.000 0.178 0.000 [4 per cell]
5 Mg 0.000 0.500 0.500 [2 per cell]


(12)
# IrPbW2

An optimized crystal structure of IrPbW2 (PBE-GGA, Alexandria via LeMat-Bulk).

E_form = 0.698 eV per atom
N(E_F) = 6.56 states/eV/cell
V = 140 Å³ per cell

abc: 4.029 4.208 8.264
angles: 90.00 90.00 90.00
Space group Imm2 (No. 44)
One atom of each set of equivalent atoms:
1 Ir 0.000 0.000 0.000 [2 per cell]
2 Pb 0.000 0.500 0.753 [2 per cell]
3 W 0.000 0.000 0.507 [2 per cell]
4 W 0.000 0.500 0.224 [2 per cell]


Question: Which of these has the lowest V?
Answer: Cd3TcNi